Record 1
VASP calculation (GGA-PBE) on a geometry-optimized Lu4NiIr2Pd structure.

abc: 4.759 4.759 6.707
angles: 90.00 90.00 90.00
Space group P4/mmm (No. 123)
Unique sites:
Lu1 0.000 0.500 0.246 [4 per cell]
Ni1 0.000 0.000 0.000 [1 per cell]
Ir1 0.000 0.000 0.500 [1 per cell]
Ir2 0.500 0.500 0.000 [1 per cell]
Pd1 0.500 0.500 0.500 [1 per cell]

- Formation enthalpy at 0 K: -693 kJ/mol of formula units
- Total moment: 0.0 μB per formula unit
- Calculated density: 13.66 g/cm3

***

Record 2
VASP calculation (GGA-PBE) on a geometry-optimized LuFeCuSi structure.

abc: 6.280 6.280 6.280
angles: 90.00 90.00 90.00
Space group F-43m (No. 216)
Unique sites:
Lu1 0.000 0.000 0.000 [4 per cell]
Fe1 0.000 0.000 0.500 [4 per cell]
Cu1 0.250 0.250 0.750 [4 per cell]
Si1 0.250 0.250 0.250 [4 per cell]

- DFT total energy: -89.9 eV for the cell shown
- Total moment: 2.4 μB per formula unit
- Calculated density: 8.65 g/cm3

***

- The highest calculated density belongs to which entry?
  Lu4NiIr2Pd